Record 1
First-principles (GGA-PBE) data for crystalline Tm3TlH at its relaxed geometry, as listed in Alexandria via LeMat-Bulk.

a = 12.6199 Å, b = 3.6414 Å, c = 11.3643 Å
α = 90.00°, β = 117.76°, γ = 90.00°
Last column: nearest neighbours and their distance in Å.
Space group C2/m (No. 12)
Unique sites:
Tm: 0.1154 0.0000 0.4312 x4  1 H 2.15
Tm: 0.1247 0.0000 0.8981 x4  1 H 2.17
Tm: 0.1258 0.5000 0.1654 x4  2 H 2.18
Tl: 0.1404 0.5000 0.6727 x4  8 Tm 3.18-3.40, 1 H 3.30
H: 0.0680 0.0000 0.2235 x4  4 Tm 2.15-2.18

## Properties
- relative energy among the computed polymorphs (meV/atom) = 0
- calculated density (g cm⁻³) = 10.2



Record 2
First-principles (GGA-PBE) data for crystalline KCd2PIr at its relaxed geometry, as listed in Alexandria via LeMat-Bulk.

a = 5.3615 Å, b = 5.3615 Å, c = 4.4994 Å
α = 90.00°, β = 90.00°, γ = 90.00°
Last column: nearest neighbours and their distance in Å.
Space group P4/mmm (No. 123)
Unique sites:
K: 0.0000 0.0000 0.0000 x1  8 Cd 3.50, 4 P 3.79
Cd: 0.0000 0.5000 0.5000 x2  2 Ir 2.68
P: 0.5000 0.5000 0.0000 x1  2 Ir 2.25
Ir: 0.5000 0.5000 0.5000 x1  2 P 2.25

## Properties
- relative energy among the computed polymorphs (meV/atom) = 0
- calculated density (g cm⁻³) = 6.3
- formation enthalpy at 0 K (eV/atom) = -0.090



Record 3
First-principles (GGA-PBE) data for crystalline Ce2MgRh9 at its relaxed geometry, as listed in Alexandria via LeMat-Bulk.

a = 4.0210 Å, b = 4.0210 Å, c = 11.9239 Å
α = 90.00°, β = 90.00°, γ = 90.00°
Last column: nearest neighbours and their distance in Å.
Space group P4/mmm (No. 123)
Unique sites:
Ce: 0.0000 0.0000 0.1725 x2  12 Rh 2.84-2.88
Mg: 0.0000 0.0000 0.5000 x1  12 Rh 2.74-2.84
Rh: 0.0000 0.5000 0.0000 x2  8 Rh 2.84-2.87, 4 Ce 2.88
Rh: 0.0000 0.5000 0.3444 x4  2 Mg 2.74, 8 Rh 2.74-2.88, 2 Ce 2.87
Rh: 0.5000 0.5000 0.1716 x2  4 Ce 2.84, 8 Rh 2.87-2.88
Rh: 0.5000 0.5000 0.5000 x1  8 Rh 2.74, 4 Mg 2.84

## Properties
- relative energy among the computed polymorphs (meV/atom) = 0
- calculated density (g cm⁻³) = 10.6
- formation enthalpy at 0 K (eV/atom) = -0.495



Record 4
First-principles (GGA-PBE) data for crystalline Ac8La2Dy3 at its relaxed geometry, as listed in Alexandria via LeMat-Bulk.

a = 19.5424 Å, b = 8.6760 Å, c = 6.4869 Å
α = 90.00°, β = 100.23°, γ = 90.00°
Last column: nearest neighbours and their distance in Å.
Space group C2/m (No. 12)
Unique sites:
Ac: 0.0340 0.0000 0.2677 x4  2 Dy 3.32, 1 La 3.40, 2 Ac 3.49-3.50
Ac: 0.1433 0.2269 0.7164 x8  2 Dy 3.71-3.75, 3 La 3.77-4.11, 6 Ac 3.83-4.08
Ac: 0.1717 0.5000 0.2306 x4  3 Dy 3.74-4.05, 2 La 3.92-4.13, 6 Ac 4.05-4.08
La: 0.2046 0.0000 0.2234 x4  3 Ac 3.40-3.77
Dy: 0.0000 0.3260 0.0000 x4  1 Dy 3.02, 2 Ac 3.32
Dy: 0.0000 0.5000 0.5000 x2  4 Dy 3.58, 4 Ac 3.75

## Properties
- calculated density (g cm⁻³) = 7.9
- formation enthalpy at 0 K (eV/atom) = 0.184



Record 5
First-principles (GGA-PBE) data for crystalline PmHo3Tm8 at its relaxed geometry, as listed in Alexandria via LeMat-Bulk.

a = 6.3361 Å, b = 11.1487 Å, c = 11.2319 Å
α = 90.00°, β = 90.00°, γ = 90.00°
Last column: nearest neighbours and their distance in Å.
Space group Immm (No. 71)
Unique sites:
Pm: 0.0000 0.0000 0.0000 x2  8 Tm 3.24-3.39
Ho: 0.0000 0.0000 0.5000 x2  8 Tm 3.17-3.38
Ho: 0.0000 0.5000 0.2456 x4  6 Tm 3.69
Tm: 0.0000 0.1692 0.2506 x8  6 Tm 3.33-3.64, 4 Ho 3.38-3.69, 1 Pm 3.39
Tm: 0.2477 0.2547 0.0000 x8  6 Tm 3.14-3.36, 1 Ho 3.17, 1 Pm 3.24

## Properties
- calculated density (g cm⁻³) = 8.3
- formation enthalpy at 0 K (eV/atom) = 0.327



Record 6
First-principles (GGA-PBE) data for crystalline USb2PdN at its relaxed geometry, as listed in Alexandria via LeMat-Bulk.

a = 3.8476 Å, b = 3.8476 Å, c = 14.5126 Å
α = 90.00°, β = 90.00°, γ = 90.00°
Last column: nearest neighbours and their distance in Å.
Space group P4/nmm (No. 129, origin choice 2)
Unique sites:
U: 0.2500 0.2500 0.0797 x2  4 N 2.24
Sb: 0.2500 0.2500 0.4226 x2  5 Pd 2.74-2.76
Sb: 0.2500 0.2500 0.7974 x2  1 Pd 2.70
Pd: 0.2500 0.2500 0.6113 x2  6 Sb 2.70-2.76
N: 0.2500 0.7500 0.0000 x2  4 U 2.24

## Properties
- formation energy without anion corrections (eV per atom) = -0.695
- calculated density (g cm⁻³) = 9.3



Record 7
First-principles (GGA-PBE) data for crystalline CdOs2Cl at its relaxed geometry, as listed in Alexandria via LeMat-Bulk.

a = 2.7752 Å, b = 5.0593 Å, c = 9.2610 Å
α = 90.00°, β = 90.00°, γ = 90.00°
Last column: nearest neighbours and their distance in Å.
Space group Cmmm (No. 65)
Unique sites:
Cd: 0.0000 0.0000 0.0000 x2  6 Cd 2.78-2.89, 4 Os 2.83
Os: 0.0000 0.5000 0.2660 x4  2 Cl 2.57, 2 Os 2.78, 2 Cd 2.83
Cl: 0.0000 0.0000 0.5000 x2  4 Os 2.57, 2 Cl 2.78

## Properties
- relative energy among the computed polymorphs (meV/atom) = 765
- formation energy without anion corrections (eV per atom) = 1.007
- calculated density (g cm⁻³) = 13.5



Record 8
First-principles (GGA-PBE) data for crystalline RbNa2AgPb at its relaxed geometry, as listed in Alexandria via LeMat-Bulk.

a = 5.8509 Å, b = 5.8509 Å, c = 5.5302 Å
α = 90.00°, β = 90.00°, γ = 90.00°
Last column: nearest neighbours and their distance in Å.
Space group P4/mmm (No. 123)
Unique sites:
Rb: 0.0000 0.0000 0.0000 x1  8 Na 4.03, 4 Pb 4.14
Na: 0.0000 0.5000 0.5000 x2  2 Ag 2.93
Ag: 0.5000 0.5000 0.5000 x1  2 Pb 2.77, 4 Na 2.93
Pb: 0.5000 0.5000 0.0000 x1  2 Ag 2.77

## Properties
- relative energy among the computed polymorphs (meV/atom) = 0
- calculated density (g cm⁻³) = 3.9
- formation enthalpy at 0 K (eV/atom) = -0.001